An optimized crystal structure of Cs2NaPPd. Source: Alexandria, functional PBE-GGA.

```
5
Lattice="7.159 0.000 0.000 0.000 7.159 0.000 0.000 0.000 4.465" Properties=species:S:1:pos:R:3 pbc="T T T"
Cs 0.000 3.579 0.000
Cs 3.579 0.000 0.000
Na 0.000 0.000 2.232
P 3.579 3.579 2.232
Pd 3.579 3.579 0.000
```

Output
Its energy above the most stable polymorph in this dataset is 7 meV/atom. For the total DFT energy (no corrections), the calculation gives -2.85 eV per atom. Its size of the total moment is 0.0 μB per formula unit. The calculated density is 3.093 g/cm³. The calculation puts the energy of formation at -0.619 eV per formula unit.

An optimized crystal structure of AlRuW2. Source: Alexandria, functional PBE-GGA.

```
4
Lattice="2.616 -4.341 0.000 2.616 4.341 0.000 -0.732 0.000 2.673" Properties=species:S:1:pos:R:3 pbc="T T T"
Al 0.000 0.000 0.000
Ru 2.616 0.000 0.000
W 0.942 2.170 1.337
W 0.942 -2.170 1.337
```

Output
For the total DFT energy (no corrections), the calculation gives -9.73 eV per atom. Its size of the total moment is 0.0 μB per formula unit. The calculated density is 13.559 g/cm³. The calculation puts the energy of formation at -0.005 eV per formula unit.

An optimized crystal structure of NaPmTlHg. Source: Alexandria, functional PBE-GGA.

```
4
Lattice="0.000 3.766 3.766 3.766 0.000 3.766 3.766 3.766 0.000" Properties=species:S:1:pos:R:3 pbc="T T T"
Na 0.000 0.000 0.000
Pm 3.766 3.766 3.766
Tl 5.649 5.649 5.649
Hg 1.883 1.883 1.883
```

Output
For the total DFT energy (no corrections), the calculation gives -2.50 eV per atom. Its size of the total moment is 0.0 μB per formula unit. The calculated density is 8.907 g/cm³. The calculation puts the energy of formation at -1.266 eV per formula unit.

An optimized crystal structure of TaIrN2F. Source: Alexandria, functional PBE-GGA.

```
5
Lattice="3.917 0.000 0.000 0.000 3.917 0.000 0.000 0.000 4.019" Properties=species:S:1:pos:R:3 pbc="T T T"
Ta 0.000 0.000 0.000
Ir 1.959 1.959 2.009
N 0.000 1.959 2.009
N 1.959 0.000 2.009
F 1.959 1.959 0.000
```

Output
Its raw formation energy is 0.95 eV/atom. Its energy above the most stable polymorph in this dataset is 701 meV/atom. For the total DFT energy (no corrections), the calculation gives -6.89 eV per atom. Its size of the total moment is 0.0 μB per formula unit. The calculated density is 11.314 g/cm³.

An optimized crystal structure of PuB4. Source: Alexandria, functional PBE-GGA.

```
5
Lattice="4.422 0.000 0.000 0.000 4.422 0.000 0.000 0.000 4.422" Properties=species:S:1:pos:R:3 pbc="T T T"
Pu 0.000 0.000 0.000
B 0.000 0.000 2.211
B 0.000 2.211 0.000
B 2.211 0.000 0.000
B 2.211 2.211 2.211
```

Output
Its energy above the most stable polymorph in this dataset is 3377 meV/atom. For the total DFT energy (no corrections), the calculation gives -5.32 eV per atom. Its size of the total moment is 5.8 μB per formula unit. The calculated density is 5.516 g/cm³. The calculation puts the energy of formation at 14.433 eV per formula unit.

An optimized crystal structure of OsAu3C. Source: Alexandria, functional PBE-GGA.

```
5
Lattice="5.041 0.000 0.000 0.000 5.041 0.000 0.000 0.000 5.041" Properties=species:S:1:pos:R:3 pbc="T T T"
Os 0.000 0.000 0.000
Au 0.000 0.000 2.521
Au 0.000 2.521 0.000
Au 2.521 0.000 0.000
C 2.521 2.521 2.521
```

Output
Its energy above the most stable polymorph in this dataset is 1224 meV/atom. For the total DFT energy (no corrections), the calculation gives -3.44 eV per atom. Its size of the total moment is 3.2 μB per formula unit. The calculated density is 10.281 g/cm³. The calculation puts the energy of formation at 13.068 eV per formula unit.

An optimized crystal structure of Y2ZnRu. Source: Alexandria, functional PBE-GGA.

```
4
Lattice="5.898 -1.706 0.000 5.898 1.706 0.000 -1.940 0.000 4.382" Properties=species:S:1:pos:R:3 pbc="T T T"
Y 0.000 0.000 0.000
Y 1.097 0.000 3.107
Zn 4.029 0.000 1.794
Ru 8.113 0.000 0.981
```

Output
For the total DFT energy (no corrections), the calculation gives -6.09 eV per atom. Its size of the total moment is 0.0 μB per formula unit. The calculated density is 6.483 g/cm³. The calculation puts the energy of formation at -0.875 eV per formula unit.

An optimized crystal structure of Y4IrW. Source: Alexandria, functional PBE-GGA.

```
6
Lattice="0.000 4.144 4.144 4.144 0.000 4.144 4.144 4.144 0.000" Properties=species:S:1:pos:R:3 pbc="T T T"
Y 1.036 1.036 1.036
Y 3.108 3.108 1.036
Y 3.108 1.036 3.108
Y 1.036 3.108 3.108
Ir 6.216 6.216 6.216
W 4.144 4.144 4.144
```

Output
For the total DFT energy (no corrections), the calculation gives -6.89 eV per atom. Its size of the total moment is 0.0 μB per formula unit. The calculated density is 8.538 g/cm³. The calculation puts the energy of formation at 6.355 eV per formula unit.

An optimized crystal structure of Tb2Be3Cu12Pd. Source: Alexandria, functional PBE-GGA.

```
18
Lattice="3.795 2.191 5.737 -3.795 2.191 5.737 0.000 -4.382 5.737" Properties=species:S:1:pos:R:3 pbc="T T T"
Tb 0.000 0.000 1.728
Tb 0.000 0.000 15.485
Be -1.898 -1.096 5.737
Be -1.898 1.096 11.475
Be 0.000 2.191 5.737
Cu -2.030 -1.172 7.832
Cu 0.000 -1.926 5.390
Cu -1.668 0.963 5.390
Cu 0.000 -2.344 9.380
Cu -2.030 1.172 9.380
Cu -1.668 -0.963 11.822
Cu 1.668 0.963 5.390
Cu 2.030 -1.172 7.832
Cu 0.000 2.344 7.832
Cu 1.668 -0.963 11.822
Cu 0.000 1.926 11.822
Cu 2.030 1.172 9.380
Pd 0.000 0.000 8.606
```

Output
For the total DFT energy (no corrections), the calculation gives -3.83 eV per atom. Its size of the total moment is 0.0 μB per formula unit. The calculated density is 7.040 g/cm³. The calculation puts the energy of formation at 5.918 eV per formula unit.

An optimized crystal structure of DyHoIn6. Source: Alexandria, functional PBE-GGA.

```
8
Lattice="4.633 0.000 0.000 0.000 4.633 0.000 0.000 0.000 9.262" Properties=species:S:1:pos:R:3 pbc="T T T"
Dy 0.000 0.000 0.000
Ho 0.000 0.000 4.631
In 0.000 2.317 2.321
In 0.000 2.317 6.941
In 2.317 0.000 2.321
In 2.317 0.000 6.941
In 2.317 2.317 0.000
In 2.317 2.317 4.631
```

Output
For the total DFT energy (no corrections), the calculation gives -3.61 eV per atom. Its size of the total moment is 0.0 μB per formula unit. The calculated density is 8.488 g/cm³. The calculation puts the energy of formation at -3.258 eV per formula unit.

An optimized crystal structure of PmPaCoTc. Source: Alexandria, functional PBE-GGA.

```
4
Lattice="0.000 3.432 3.432 3.432 0.000 3.432 3.432 3.432 0.000" Properties=species:S:1:pos:R:3 pbc="T T T"
Pm 0.000 0.000 0.000
Pa 3.432 3.432 3.432
Co 1.716 1.716 1.716
Tc 5.147 5.147 5.147
```

Output
For the total DFT energy (no corrections), the calculation gives -7.92 eV per atom. Its size of the total moment is 0.5 μB per formula unit. The calculated density is 10.950 g/cm³. The calculation puts the energy of formation at 0.057 eV per formula unit.

An optimized crystal structure of PrNd2CdHg4. Source: Alexandria, functional PBE-GGA.

```
8
Lattice="2.620 1.513 9.143 -2.620 1.513 9.143 0.000 -3.025 9.143" Properties=species:S:1:pos:R:3 pbc="T T T"
Pr 0.000 0.000 0.000
Nd 0.000 0.000 6.569
Nd 0.000 0.000 20.860
Cd 0.000 0.000 13.715
Hg 0.000 0.000 3.380
Hg 0.000 0.000 10.235
Hg 0.000 0.000 17.194
Hg 0.000 0.000 24.050
```

Output
For the total DFT energy (no corrections), the calculation gives -2.49 eV per atom. Its size of the total moment is 0.0 μB per formula unit. The calculated density is 10.267 g/cm³. The calculation puts the energy of formation at -3.446 eV per formula unit.